Compound: CaSb2Mo
Source: Alexandria
Functional: GGA-PBE
Structure: optimized geometry

Cell lengths 6.851, 5.102, 3.610 Å; angles 83.57, 68.90, 122.96 degrees
Sites, in units of the cell vectors:
Sb (0.000, 0.000, 0.000)
Sb (0.500, 0.000, 0.500)
Mo (0.500, 0.500, 0.000)
Ca (0.000, 0.500, 0.500)

## Properties
- Formation energy from raw total energies: 113 meV/atom
- Total energy: -5.16 eV per atom
- DOS at the Fermi energy: 3.18 states/eV per cell
- Energy above the lowest structure with this stoichiometry: 0.3553 eV per atom
- Crystal system: monoclinic

Compound: AcNpCuO6
Source: Alexandria
Functional: GGA-PBE
Structure: optimized geometry

Cell lengths 6.035, 6.035, 8.276 Å; angles 90.00, 90.00, 120.00 degrees
Sites, in units of the cell vectors:
Ac (0.333, 0.667, 0.250)
Ac (0.667, 0.333, 0.750)
Np (0.667, 0.333, 0.250)
Np (0.333, 0.667, 0.750)
Cu (0.000, 0.000, 0.000)
Cu (0.000, 0.000, 0.500)
O (0.692, 0.629, 0.120)
O (0.937, 0.308, 0.120)
O (0.308, 0.937, 0.620)
O (0.063, 0.692, 0.880)
O (0.371, 0.308, 0.380)
O (0.937, 0.629, 0.380)
O (0.629, 0.937, 0.880)
O (0.692, 0.063, 0.380)
O (0.063, 0.371, 0.620)
O (0.371, 0.063, 0.120)
O (0.629, 0.692, 0.620)
O (0.308, 0.371, 0.880)

## Properties
- Formation energy from raw total energies: -2099 meV/atom
- Total energy: -7.75 eV per atom
- DOS at the Fermi energy: 8.34 states/eV per cell
- Crystal system: trigonal

Compound: SrGa2Sn
Source: Alexandria
Functional: GGA-PBE
Structure: optimized geometry

Cell lengths 4.697, 7.531, 11.783 Å; angles 90.00, 89.96, 90.00 degrees
Sites, in units of the cell vectors:
Sr (0.750, 0.359, 0.364)
Sr (0.250, 0.641, 0.636)
Sr (0.750, 0.859, 0.136)
Sr (0.250, 0.141, 0.864)
Ga (0.250, 0.028, 0.339)
Ga (0.750, 0.972, 0.661)
Ga (0.250, 0.528, 0.161)
Ga (0.750, 0.472, 0.839)
Ga (0.250, 0.168, 0.143)
Ga (0.750, 0.832, 0.857)
Ga (0.250, 0.668, 0.357)
Ga (0.750, 0.332, 0.643)
Sn (0.750, 0.344, 0.067)
Sn (0.250, 0.656, 0.933)
Sn (0.750, 0.844, 0.433)
Sn (0.250, 0.156, 0.567)

## Properties
- Total energy: -3.34 eV per atom
- E_form: -410 meV per atom
- DOS at the Fermi energy: 4.42 states/eV per cell
- Crystal system: monoclinic

Compound: La12CdSn3
Source: Alexandria
Functional: GGA-PBE
Structure: optimized geometry

Cell lengths 5.056, 5.056, 20.079 Å; angles 90.00, 90.00, 90.00 degrees
Sites, in units of the cell vectors:
La (0.500, 0.500, 0.000)
La (0.500, 0.500, 0.250)
La (0.500, 0.500, 0.500)
La (0.500, 0.500, 0.750)
La (0.500, 0.000, 0.127)
La (0.500, 0.000, 0.376)
La (0.500, 0.000, 0.624)
La (0.500, 0.000, 0.873)
La (0.000, 0.500, 0.127)
La (0.000, 0.500, 0.376)
La (0.000, 0.500, 0.624)
La (0.000, 0.500, 0.873)
Cd (0.000, 0.000, 0.000)
Sn (0.000, 0.000, 0.250)
Sn (0.000, 0.000, 0.500)
Sn (0.000, 0.000, 0.750)

## Properties
- Total energy: -4.91 eV per atom
- E_form: -402 meV per atom
- DOS at the Fermi energy: 22.58 states/eV per cell
- Crystal system: tetragonal